Record 1
VASP calculation (GGA-PBE) on crystalline Y6AsO12 at its relaxed geometry.

* raw formation energy: -3.0267 eV/atom

Lattice parameters (Å, degrees): 9.7591 9.7591 9.3343 90.00 90.00 120.00
With the nearest neighbours (Å) after each atom.
Space group R-3 (No. 148, hexagonal axes)
Symmetry-distinct sites (fractional):
Y: 0.0511 0.2607 0.1508 (multiplicity 18)  6 O 2.20-2.43
As: 0.0000 0.0000 0.5000 (multiplicity 3)  6 O 1.91
O: 0.0372 0.2259 0.9032 (multiplicity 18)  4 Y 2.20-2.33
O: 0.0437 0.1834 0.3921 (multiplicity 18)  1 As 1.91

---

Record 2
VASP calculation (GGA-PBE) on crystalline AlCr2Co at its relaxed geometry.

* ΔE_f: -0.06 eV per atom

Lattice parameters (Å, degrees): 3.3944 3.3944 4.1077 90.00 90.00 90.00
With the nearest neighbours (Å) after each atom.
Space group P4/mmm (No. 123)
Symmetry-distinct sites (fractional):
Al: 0.0000 0.0000 0.0000 (multiplicity 1)  4 Co 2.40, 8 Cr 2.66
Cr: 0.0000 0.5000 0.5000 (multiplicity 2)  4 Cr 2.40, 4 Co 2.66, 4 Al 2.66
Co: 0.5000 0.5000 0.0000 (multiplicity 1)  4 Al 2.40, 8 Cr 2.66

---

Record 3
VASP calculation (GGA-PBE) on crystalline CrRe4Se at its relaxed geometry.

* raw formation energy: 0.8157 eV/atom

Lattice parameters (Å, degrees): 7.3717 7.3717 7.3717 90.00 90.00 90.00
With the nearest neighbours (Å) after each atom.
Space group F-43m (No. 216)
Symmetry-distinct sites (fractional):
Cr: 0.0000 0.0000 0.0000 (multiplicity 4)  12 Re 3.06, 4 Se 3.19
Re: 0.1252 0.1252 0.3748 (multiplicity 16)  6 Re 2.60-2.61
Se: 0.2500 0.2500 0.7500 (multiplicity 4)  12 Re 3.06, 4 Cr 3.19

---

Record 4
VASP calculation (GGA-PBE) on crystalline Tm12Cu6Rh at its relaxed geometry.

* ΔE_f: -0.07 eV per atom

Lattice parameters (Å, degrees): 12.1078 12.1078 11.6948 90.00 90.00 120.00
With the nearest neighbours (Å) after each atom.
Space group R-3 (No. 148, hexagonal axes)
Symmetry-distinct sites (fractional):
Tm: 0.0257 0.8247 0.3899 (multiplicity 18)  3 Cu 2.72-2.84
Tm: 0.0369 0.8386 0.8756 (multiplicity 18)  1 Rh 2.65, 2 Cu 2.75-2.83
Cu: 0.0426 0.7722 0.6447 (multiplicity 18)  5 Tm 2.72-2.84
Rh: 0.0000 0.0000 0.0000 (multiplicity 3)  6 Tm 2.65

---

Record 5
VASP calculation (GGA-PBE) on crystalline OsPb at its relaxed geometry.

* ΔE_f: 0.48 eV per atom

Lattice parameters (Å, degrees): 3.0220 3.0220 9.6533 90.00 90.00 90.00
With the nearest neighbours (Å) after each atom.
Space group P4/nmm (No. 129, origin choice 2)
Symmetry-distinct sites (fractional):
Os: 0.2500 0.2500 0.0790 (multiplicity 2)  4 Os 2.62
Pb: 0.2500 0.2500 0.6907 (multiplicity 2)  4 Pb 3.02, 4 Os 3.08

---

Record 6
VASP calculation (GGA-PBE) on crystalline CoAg2H at its relaxed geometry.

* final energy: -0.2288 Ry per atom

Lattice parameters (Å, degrees): 6.0319 6.0319 6.0319 90.00 90.00 90.00
With the nearest neighbours (Å) after each atom.
Space group Fm-3m (No. 225)
Symmetry-distinct sites (fractional):
Co: 0.0000 0.0000 0.0000 (multiplicity 4)  8 Ag 2.61
Ag: 0.2500 0.2500 0.2500 (multiplicity 8)  4 H 2.61, 4 Co 2.61
H: 0.0000 0.0000 0.5000 (multiplicity 4)  8 Ag 2.61

---

Record 7
VASP calculation (GGA-PBE) on crystalline AcH2F4 at its relaxed geometry.

* final energy: -0.3636 Ry per atom

Lattice parameters (Å, degrees): 4.6310 7.5088 5.1387 90.00 90.00 90.00
With the nearest neighbours (Å) after each atom.
Space group Cmmm (No. 65)
Symmetry-distinct sites (fractional):
Ac: 0.0000 0.0000 0.0000 (multiplicity 2)  6 F 2.49-2.64
H: 0.0000 0.3197 0.5000 (multiplicity 4)  1 F 1.03
F: 0.0000 0.1828 0.5000 (multiplicity 4)  1 H 1.03
F: 0.0000 0.3322 0.0000 (multiplicity 4)  3 Ac 2.49-2.64, 3 F 2.52-2.62, 2 H 2.57

---

Record 8
VASP calculation (GGA-PBE) on crystalline VRe4 at its relaxed geometry.

* ΔE_f: 1.81 eV per atom

Lattice parameters (Å, degrees): 4.4116 4.4116 4.4116 90.00 90.00 90.00
With the nearest neighbours (Å) after each atom.
Space group Pm-3m (No. 221)
Symmetry-distinct sites (fractional):
V: 0.0000 0.0000 0.0000 (multiplicity 1)  6 Re 2.21
Re: 0.0000 0.0000 0.5000 (multiplicity 3)  2 V 2.21
Re: 0.5000 0.5000 0.5000 (multiplicity 1)  12 Re 3.12

---

no.,density (g/cm3)
1,5.18
2,6.66
3,14.52
4,8.43
5,14.97
6,8.34
7,5.67
8,15.39